A geometry-optimized Ac4Tb5Y2 structure, computed with GGA-PBE.

abc: 5.318 8.216 11.236
angles: 121.79 103.69 90.00
Fractional positions:
Tb1 0.860 0.913 0.720
Tb2 0.774 0.173 0.548
Tb3 0.500 0.000 0.000
Tb4 0.226 0.827 0.452
Tb5 0.140 0.087 0.280
Y1 0.407 0.262 0.813
Y2 0.593 0.738 0.187
Ac1 0.682 0.453 0.364
Ac2 0.043 0.354 0.086
Ac3 0.957 0.646 0.914
Ac4 0.318 0.547 0.636

Results
**Raw total energy**: -4.7169 eV/atom
**DOS(E_F)**: 16.92 states/eV/f.u.

A geometry-optimized K2RbUCl6 structure, computed with GGA-PBE.

abc: 7.857 7.857 8.260
angles: 61.60 61.60 60.00
Fractional positions:
Cl1 0.216 0.970 0.241
Cl2 0.137 0.406 0.776
Cl3 0.572 0.217 0.241
Cl4 0.680 0.137 0.777
Cl5 0.406 0.680 0.776
Cl6 0.970 0.572 0.241
Rb1 0.811 0.811 0.567
K1 0.017 0.017 0.948
K2 0.528 0.528 0.416
U1 0.322 0.322 0.033

Results
**Raw total energy**: -4.4248 eV/atom
**Raw formation energy**: -1.872 eV/atom

A geometry-optimized As2Pb3Br structure, computed with GGA-PBE.

abc: 4.295 7.644 11.395
angles: 103.87 90.00 90.00
Fractional positions:
As1 0.250 0.746 0.492
As2 0.250 0.990 0.173
As3 0.750 0.010 0.827
As4 0.750 0.254 0.508
Pb1 0.750 0.886 0.348
Pb2 0.250 0.114 0.652
Pb3 0.750 0.800 0.015
Pb4 0.250 0.200 0.985
Pb5 0.750 0.652 0.641
Pb6 0.250 0.348 0.359
Br1 0.250 0.525 0.835
Br2 0.750 0.475 0.165

Results
**Raw total energy**: -3.9023 eV/atom
**DOS(E_F)**: 1.87 states/eV/f.u.
**Raw formation energy**: -0.219 eV/atom

A geometry-optimized NbAl2PbSe structure, computed with GGA-PBE.

abc: 5.222 5.599 5.222
angles: 90.00 90.00 90.00
Fractional positions:
Se1 0.500 0.500 0.500
Al1 0.500 0.000 0.000
Al2 0.000 0.000 0.500
Nb1 0.000 0.500 0.000
Pb1 0.000 0.000 0.000

Results
**Raw total energy**: -3.6752 eV/atom
**DOS(E_F)**: 2.80 states/eV/f.u.
**Raw formation energy**: 1.274 eV/atom

A geometry-optimized Tl4InPt structure, computed with GGA-PBE.

abc: 6.239 6.239 6.239
angles: 60.00 60.00 60.00
Fractional positions:
In1 0.750 0.750 0.750
Tl1 0.374 0.878 0.374
Tl2 0.374 0.374 0.374
Tl3 0.374 0.374 0.878
Tl4 0.878 0.374 0.374
Pt1 0.000 0.000 0.000

Results
**Raw total energy**: -2.6273 eV/atom
**DOS(E_F)**: 1.58 states/eV/f.u.

A geometry-optimized Y4TmGe4 structure, computed with GGA-PBE.

abc: 5.838 9.056 9.056
angles: 90.00 90.00 90.00
Fractional positions:
Y1 0.117 0.822 0.411
Y2 0.883 0.411 0.178
Y3 0.617 0.911 0.678
Y4 0.883 0.589 0.822
Y5 0.617 0.089 0.322
Y6 0.383 0.678 0.089
Y7 0.117 0.178 0.589
Y8 0.383 0.322 0.911
Ge1 0.619 0.229 0.628
Ge2 0.119 0.128 0.271
Ge3 0.619 0.771 0.372
Ge4 0.381 0.628 0.771
Ge5 0.881 0.729 0.128
Ge6 0.881 0.271 0.872
Ge7 0.119 0.872 0.729
Ge8 0.381 0.372 0.229
Tm1 0.000 0.000 0.000
Tm2 0.500 0.500 0.500

Results
**Raw total energy**: -6.0332 eV/atom
**DOS(E_F)**: 9.06 states/eV/f.u.

A geometry-optimized Sc2AsN structure, computed with GGA-PBE.

abc: 7.896 7.896 7.896
angles: 23.88 23.88 23.88
Fractional positions:
Sc1 0.115 0.115 0.115
Sc2 0.885 0.885 0.885
N1 0.500 0.500 0.500
As1 0.000 0.000 0.000

Results
**Raw total energy**: -7.3791 eV/atom
**Energy relative to the lowest polymorph listed for this composition**: 0.358 eV/atom
**DOS(E_F)**: 2.71 states/eV/f.u.
**Raw formation energy**: -0.970 eV/atom

A geometry-optimized Tl3Te structure, computed with GGA-PBE.

abc: 4.234 4.234 7.210
angles: 90.00 90.00 89.94
Fractional positions:
Tl1 0.500 0.500 0.763
Tl2 0.500 0.500 0.237
Tl3 0.000 0.000 0.500
Te1 0.000 0.000 0.000

Results
**Raw total energy**: -2.7316 eV/atom
**Energy relative to the lowest polymorph listed for this composition**: 0.031 eV/atom
**DOS(E_F)**: 0.69 states/eV/f.u.
**Raw formation energy**: -0.172 eV/atom

A geometry-optimized Sm2GaSi3Ni12 structure, computed with GGA-PBE.

abc: 6.302 6.302 6.302
angles: 84.35 84.35 84.35
Fractional positions:
Ni1 0.383 0.383 0.905
Ni2 0.815 0.293 0.815
Ni3 0.905 0.383 0.383
Ni4 0.383 0.905 0.383
Ni5 0.617 0.617 0.095
Ni6 0.293 0.815 0.815
Ni7 0.707 0.185 0.185
Ni8 0.095 0.617 0.617
Ni9 0.815 0.815 0.293
Ni10 0.617 0.095 0.617
Ni11 0.185 0.707 0.185
Ni12 0.185 0.185 0.707
Si1 0.000 0.000 0.500
Si2 0.000 0.500 0.000
Si3 0.500 0.000 0.000
Ga1 0.000 0.000 0.000
Sm1 0.651 0.651 0.651
Sm2 0.349 0.349 0.349

Results
**Raw total energy**: -5.6140 eV/atom
**DOS(E_F)**: 13.68 states/eV/f.u.
**Raw formation energy**: -0.163 eV/atom

A geometry-optimized Tb2Ho12Th5 structure, computed with GGA-PBE.

abc: 10.310 9.203 7.826
angles: 88.99 90.00 124.06
Fractional positions:
Ho1 0.571 0.614 0.797
Ho2 0.043 0.614 0.797
Ho3 0.385 0.217 0.608
Ho4 0.551 0.103 0.294
Ho5 0.429 0.386 0.203
Ho6 0.957 0.386 0.203
Ho7 0.140 0.279 0.889
Ho8 0.449 0.897 0.706
Ho9 0.832 0.217 0.608
Ho10 0.615 0.783 0.392
Ho11 0.168 0.783 0.392
Ho12 0.860 0.721 0.111
Tb1 0.740 0.000 0.000
Tb2 0.260 0.000 0.000
Th1 0.000 0.000 0.500
Th2 0.655 0.310 0.916
Th3 0.240 0.480 0.512
Th4 0.345 0.690 0.084
Th5 0.760 0.520 0.488

Results
**Raw total energy**: -5.1770 eV/atom
**Energy relative to the lowest polymorph listed for this composition**: 0.000 eV/atom
**DOS(E_F)**: 28.79 states/eV/f.u.

A geometry-optimized Pr2SiHg structure, computed with GGA-PBE.

abc: 3.840 3.840 7.270
angles: 90.00 90.00 90.00
Fractional positions:
Hg1 0.500 0.500 0.500
Pr1 0.000 0.000 0.777
Pr2 0.000 0.000 0.223
Si1 0.500 0.500 0.000

Results
**Raw total energy**: -4.2849 eV/atom
**DOS(E_F)**: 4.03 states/eV/f.u.
**Raw formation energy**: -0.464 eV/atom

A geometry-optimized Er3PuAg4S8 structure, computed with GGA-PBE.

abc: 8.037 7.691 8.034
angles: 121.63 120.01 90.00
Fractional positions:
Ag1 0.000 0.000 0.000
Ag2 0.500 0.000 0.500
Ag3 0.000 0.000 0.500
Ag4 0.500 0.000 0.000
Er1 0.500 0.500 0.000
Er2 0.500 0.500 0.500
Er3 0.000 0.500 0.500
S1 0.249 0.740 0.499
S2 0.751 0.260 0.009
S3 0.742 0.740 0.991
S4 0.751 0.260 0.501
S5 0.249 0.740 0.991
S6 0.258 0.260 0.009
S7 0.253 0.261 0.506
S8 0.747 0.739 0.494
Pu1 0.000 0.500 0.000

Results
**Raw total energy**: -5.7316 eV/atom
**DOS(E_F)**: 12.80 states/eV/f.u.
**Raw formation energy**: -1.204 eV/atom

A geometry-optimized CeSmScAl structure, computed with GGA-PBE.

abc: 5.283 5.283 5.283
angles: 60.00 60.00 60.00
Fractional positions:
Al1 0.500 0.500 0.500
Ce1 0.250 0.250 0.250
Sm1 0.750 0.750 0.750
Sc1 0.000 0.000 0.000

Results
**Raw total energy**: -5.2431 eV/atom
**DOS(E_F)**: 8.74 states/eV/f.u.

A geometry-optimized KSbIr2 structure, computed with GGA-PBE.

abc: 5.016 5.016 3.070
angles: 90.00 90.00 102.85
Fractional positions:
Ir1 0.500 0.500 0.000
Ir2 0.000 0.000 0.000
Sb1 0.000 0.500 0.500
K1 0.500 0.000 0.500

Results
**Raw total energy**: -4.9258 eV/atom
**DOS(E_F)**: 3.04 states/eV/f.u.
**Raw formation energy**: 0.810 eV/atom

A geometry-optimized BaMg2Pt structure, computed with GGA-PBE.

abc: 4.488 4.488 10.843
angles: 90.00 90.00 90.00
Fractional positions:
Pt1 0.000 0.500 0.351
Pt2 0.500 0.000 0.649
Mg1 0.500 0.500 0.500
Mg2 0.500 0.000 0.916
Mg3 0.000 0.000 0.500
Mg4 0.000 0.500 0.084
Ba1 0.500 0.000 0.243
Ba2 0.000 0.500 0.757

Results
**Raw total energy**: -3.3076 eV/atom
**DOS(E_F)**: 1.59 states/eV/f.u.

A geometry-optimized InPbCl2 structure, computed with GGA-PBE.

abc: 5.927 5.927 5.927
angles: 140.01 118.30 76.10
Fractional positions:
Pb1 0.250 0.750 0.500
In1 0.750 0.250 0.500
Cl1 0.025 0.025 0.000
Cl2 0.475 0.475 0.000

Results
**Raw total energy**: -3.1943 eV/atom
**Energy relative to the lowest polymorph listed for this composition**: 0.049 eV/atom
**DOS(E_F)**: 1.84 states/eV/f.u.
**Raw formation energy**: -0.659 eV/atom

A geometry-optimized Sm3ZnSi structure, computed with GGA-PBE.

abc: 4.405 7.053 8.880
angles: 86.06 89.52 107.78
Fractional positions:
Sm1 0.068 0.176 0.390
Sm2 0.259 0.549 0.037
Sm3 0.976 0.978 0.031
Sm4 0.626 0.267 0.813
Sm5 0.417 0.887 0.609
Sm6 0.785 0.605 0.384
Zn1 0.225 0.462 0.644
Zn2 0.819 0.692 0.778
Si1 0.433 0.897 0.266
Si2 0.611 0.257 0.156

Results
**Raw total energy**: -4.5326 eV/atom
**DOS(E_F)**: 4.94 states/eV/f.u.
**Raw formation energy**: -0.362 eV/atom

A geometry-optimized Ba4InPt structure, computed with GGA-PBE.

abc: 6.968 6.968 6.968
angles: 60.00 60.00 60.00
Fractional positions:
Ba1 0.374 0.374 0.877
Ba2 0.374 0.374 0.374
Ba3 0.374 0.877 0.374
Ba4 0.877 0.374 0.374
In1 0.750 0.750 0.750
Pt1 0.000 0.000 0.000

Results
**Raw total energy**: -2.2779 eV/atom
**Energy relative to the lowest polymorph listed for this composition**: 0.879 eV/atom
**DOS(E_F)**: 8.52 states/eV/f.u.

A geometry-optimized PrGdN structure, computed with GGA-PBE.

abc: 4.386 4.386 4.386
angles: 60.00 60.00 60.00
Fractional positions:
Gd1 0.000 0.000 0.000
Pr1 0.500 0.500 0.500
N1 0.250 0.250 0.250

Results
**Raw total energy**: -9.3758 eV/atom
**Energy relative to the lowest polymorph listed for this composition**: 0.598 eV/atom
**DOS(E_F)**: 1.91 states/eV/f.u.
**Raw formation energy**: -0.314 eV/atom

A geometry-optimized Th2Ga2Os structure, computed with GGA-PBE.

abc: 3.897 4.362 7.177
angles: 107.69 90.00 90.00
Fractional positions:
Th1 0.000 0.942 0.884
Th2 0.000 0.679 0.358
Ga1 0.500 0.306 0.612
Ga2 0.500 0.504 0.008
Os1 0.500 0.111 0.222

Results
**Raw total energy**: -6.8649 eV/atom
**Energy relative to the lowest polymorph listed for this composition**: 0.039 eV/atom
**DOS(E_F)**: 3.90 states/eV/f.u.